--- a ---
Entry from the Alexandria database: an optimized crystal structure of BiMo2O8 (GGA+U).

Space-group type ... I422
Calculated density ... 6.49 g/cm3

Cell: 6.6486 6.6486 6.6486 Å, 136.96 136.96 62.50°
With the nearest neighbours (Å) after each atom.
Fractional coordinates of all 11 atoms:
Bi (0.0000, 0.0000, 0.0000)  8 O 2.40
Mo (0.2500, 0.7500, 0.5000)  8 O 2.01-2.16
Mo (0.7500, 0.2500, 0.5000)  8 O 2.01-2.16
O (0.0895, 0.5898, 0.9732)  2 Mo 2.01-2.16
O (0.1163, 0.0895, 0.4998)  2 Mo 2.01-2.16
O (0.3835, 0.4102, 0.4998)  2 Mo 2.01-2.16
O (0.4102, 0.9105, 0.0268)  2 Mo 2.01-2.16
O (0.5898, 0.6165, 0.5002)  2 Mo 2.01-2.16
O (0.6165, 0.1163, 0.0268)  2 Mo 2.01-2.16
O (0.8837, 0.3835, 0.9732)  2 Mo 2.01-2.16
O (0.9105, 0.8837, 0.5002)  2 Mo 2.01-2.16

--- b ---
Entry from the Alexandria database: an optimized crystal structure of BiMo2O8 (GGA+U).

Space-group type ... C2/m
Calculated density ... 3.81 g/cm3

Cell: 6.5109 6.5109 5.5805 Å, 96.46 96.46 98.63°
With the nearest neighbours (Å) after each atom.
Fractional coordinates of all 11 atoms:
Bi (0.0000, 0.0000, 0.0000)  6 O 2.24-2.35
Mo (0.2521, 0.2521, 0.6553)  4 O 1.74-1.84
Mo (0.7479, 0.7479, 0.3447)  4 O 1.74-1.84
O (0.0169, 0.2952, 0.7919)  1 Mo 1.83
O (0.1989, 0.1989, 0.3223)  1 Mo 1.84
O (0.2952, 0.0169, 0.7919)  1 Mo 1.83
O (0.4584, 0.4584, 0.7447)  1 Mo 1.74
O (0.5416, 0.5416, 0.2553)  1 Mo 1.74
O (0.7048, 0.9831, 0.2081)  1 Mo 1.83
O (0.8011, 0.8011, 0.6777)  1 Mo 1.84
O (0.9831, 0.7048, 0.2081)  1 Mo 1.83

Question: which arrangement is favored energetically? Ranking from most to least stable: b, a.

--- a ---
Entry from the Alexandria database: an optimized crystal structure of BiMoO4 (GGA+U).

Space-group type ... P2_1/c
Calculated density ... 7.11 g/cm3

Cell: 8.0152 5.6664 7.8235 Å, 90.00 104.12 90.00°
With the nearest neighbours (Å) after each atom.
Fractional coordinates of all 24 atoms:
Bi (0.1098, 0.2500, 0.4024)  6 O 2.27-2.47
Bi (0.1098, 0.2500, 0.9024)  6 O 2.27-2.47
Bi (0.8902, 0.7500, 0.0976)  6 O 2.27-2.47
Bi (0.8902, 0.7500, 0.5976)  6 O 2.27-2.47
Mo (0.3334, 0.7499, 0.2083)  6 O 1.92-2.09
Mo (0.3334, 0.7501, 0.7083)  6 O 1.92-2.09
Mo (0.6666, 0.2499, 0.2917)  6 O 1.92-2.09
Mo (0.6666, 0.2501, 0.7917)  6 O 1.92-2.09
O (0.1264, 0.5133, 0.1570)  1 Mo 2.09, 1 Bi 2.27
O (0.1264, 0.9867, 0.6570)  1 Mo 2.09, 1 Bi 2.27
O (0.1265, 0.5136, 0.6562)  1 Mo 2.09, 1 Bi 2.27
O (0.1265, 0.9864, 0.1562)  1 Mo 2.09, 1 Bi 2.27
O (0.3188, 0.7487, 0.9547)  2 Mo 1.96
O (0.3188, 0.7513, 0.4547)  2 Mo 1.96
O (0.5000, 0.9999, 0.2493)  2 Mo 1.92
O (0.5000, 0.0001, 0.7507)  2 Mo 1.92
O (0.5000, 0.4999, 0.2507)  2 Mo 1.92
O (0.5000, 0.5001, 0.7493)  2 Mo 1.92
O (0.6812, 0.2487, 0.5453)  2 Mo 1.96
O (0.6812, 0.2513, 0.0453)  2 Mo 1.96
O (0.8735, 0.0136, 0.8438)  1 Mo 2.09, 1 Bi 2.27
O (0.8735, 0.4864, 0.3438)  1 Mo 2.09, 1 Bi 2.27
O (0.8736, 0.0133, 0.3430)  1 Mo 2.09, 1 Bi 2.27
O (0.8736, 0.4867, 0.8430)  1 Mo 2.09, 1 Bi 2.27

--- b ---
Entry from the Alexandria database: an optimized crystal structure of BiMoO4 (GGA+U).

Space-group type ... Pnc2
Calculated density ... 7.44 g/cm3

Cell: 5.3296 5.4052 5.7129 Å, 90.00 90.00 90.00°
With the nearest neighbours (Å) after each atom.
Fractional coordinates of all 12 atoms:
Bi (0.0000, 0.0000, 0.0000)  6 O 2.32-2.44
Bi (0.0000, 0.5000, 0.5000)  6 O 2.32-2.44
Mo (0.5000, 0.0000, 0.4170)  4 O 1.88-1.97
Mo (0.5000, 0.5000, 0.9170)  4 O 1.88-1.97
O (0.2058, 0.1644, 0.3225)  1 Mo 1.88
O (0.2058, 0.3356, 0.8225)  1 Mo 1.88
O (0.3365, 0.7315, 0.1366)  1 Mo 1.97
O (0.3365, 0.7685, 0.6366)  1 Mo 1.97
O (0.6635, 0.2315, 0.6366)  1 Mo 1.97
O (0.6635, 0.2685, 0.1366)  1 Mo 1.97
O (0.7942, 0.6644, 0.8225)  1 Mo 1.88
O (0.7942, 0.8356, 0.3225)  1 Mo 1.88

Question: which arrangement is favored energetically? Ranking from most to least stable: a, b.